[1]
KNa2ZnSi | PBE | relaxed

- Crystal system: tetragonal
- ΔE_f (raw): 0.172 eV/atom
- SG: P4/mmm, No. 123
- ΔE to the lowest computed polymorph: 52 meV/atom
- E_tot: -1.91 eV per atom
- ρ: 1.9 g cm⁻³

The structure in POSCAR format:
```
KNa2ZnSi
1.0
5.699 0.000 0.000
0.000 5.699 0.000
0.000 0.000 4.705
K Na Zn Si
1 2 1 1
Cartesian
0.000 0.000 0.000 K
0.000 2.849 2.352 Na
2.849 0.000 2.352 Na
2.849 2.849 2.352 Zn
2.849 2.849 0.000 Si
```



[2]
Y8Te4Au3Se | PBE | relaxed

- Crystal system: trigonal
- ΔE_f (raw): -1.188 eV/atom
- SG: R-3m, No. 166
- E_tot: -6.04 eV per atom
- ρ: 7.1 g cm⁻³

The structure in POSCAR format:
```
Y8Te4Au3Se
1.0
4.219 2.436 7.220
-4.219 2.436 7.220
0.000 -4.872 7.220
Y Te Au Se
8 4 3 1
Cartesian
-2.121 -1.225 12.488 Y
0.000 0.000 5.239 Y
0.000 -2.449 9.172 Y
-2.121 1.225 9.172 Y
2.121 -1.225 12.488 Y
0.000 2.449 12.488 Y
0.000 0.000 16.421 Y
2.121 1.225 9.172 Y
0.000 0.000 0.000 Te
-2.109 -1.218 7.220 Te
-2.109 1.218 14.440 Te
0.000 2.436 7.220 Te
-4.219 0.000 10.830 Au
-2.109 1.218 3.610 Au
2.109 1.218 3.610 Au
0.000 0.000 10.830 Se
```



> The highest ρ belongs to which entry?

Y8Te4Au3Se



> Look up the ΔE_f (raw) of the first one.

0.172 eV/atom



> E_tot of number 2 (Y8Te4Au3Se)?

-6.04 eV per atom